No. 1
Here is a geometry-optimized Tb2Pm4NdMg structure from Alexandria via LeMat-Bulk. Energies are from PBE.

Geometry as POSCAR:
```
Tb2Pm4NdMg
1.0
5.860 0.000 0.000
0.000 5.860 0.000
0.000 0.000 7.588
Tb Pm Nd Mg
2 4 1 1
direct
0.000 0.000 0.000
0.500 0.500 0.000
0.000 0.500 0.259
0.000 0.500 0.741
0.500 0.000 0.259
0.500 0.000 0.741
0.000 0.000 0.500
0.500 0.500 0.500
```

Properties
calculated formation energy	0.58	eV per formula unit
raw total energy	-34.0	eV per formula unit
spin magnetization	0.00	μB per cell
DOS(E_F)	13.1	states/eV per cell



No. 2
Here is a geometry-optimized Pm2Nd4ThMg structure from Alexandria via LeMat-Bulk. Energies are from PBE.

Geometry as POSCAR:
```
Pm2Nd4ThMg
1.0
5.748 0.000 0.000
0.000 5.754 0.000
-0.011 0.000 7.945
Pm Nd Th Mg
2 4 1 1
direct
0.000 0.000 0.000
0.500 0.500 0.500
0.000 0.500 0.231
0.000 0.500 0.769
0.500 0.000 0.233
0.500 0.000 0.767
0.000 0.000 0.500
0.500 0.500 0.000
```

Properties
calculated formation energy	0.74	eV per formula unit
raw total energy	-36.8	eV per formula unit
spin magnetization	0.00	μB per cell
DOS(E_F)	12.6	states/eV per cell